First-principles (PBE) data for a relaxed structure of InBiO2, as listed in Alexandria via LeMat-Bulk.

Summary:
SG   R-3m
Magnetic moment   0.000 μB/f.u.
VASP energy   -20.120 eV/cell

a b c (Å): 7.322 7.322 7.322
angles (deg): 27.89 27.89 27.89
Fractional positions:
O 0.107 0.107 0.107
O 0.893 0.893 0.893
In 0.000 0.000 0.000
Bi 0.500 0.500 0.500